First-principles (PBE-GGA) data for a relaxed structure of HgPW2, as listed in Alexandria via LeMat-Bulk.

Geometry as CIF:
```
data_HgPW2
_space_group_name_H-M_alt 'P 1'
_space_group_IT_number 1
_space_group_name_Hall 'P 1'
_cell_length_a 4.555
_cell_length_b 4.555
_cell_length_c 3.081
_cell_angle_alpha 90.00
_cell_angle_beta 90.00
_cell_angle_gamma 90.00
loop_
_atom_site_label
_atom_site_type_symbol
_atom_site_fract_x
_atom_site_fract_y
_atom_site_fract_z
Hg1 Hg 0.000 0.000 0.000
P1 P 0.500 0.500 0.000
W1 W 0.000 0.500 0.500
W2 W 0.500 0.000 0.500
```

Summary:
crystal system = tetragonal
SG = P4/mmm (123)
calculated total energy = -7.12 eV per atom
ΔH_f (0 K) = 0.785 eV/atom

First-principles (PBE-GGA) data for a relaxed structure of NaHgI3, as listed in Alexandria via LeMat-Bulk.

Geometry as CIF:
```
data_NaHgI3
_space_group_name_H-M_alt 'P 1'
_space_group_IT_number 1
_space_group_name_Hall 'P 1'
_cell_length_a 5.993
_cell_length_b 5.993
_cell_length_c 5.993
_cell_angle_alpha 90.00
_cell_angle_beta 90.00
_cell_angle_gamma 90.00
loop_
_atom_site_label
_atom_site_type_symbol
_atom_site_fract_x
_atom_site_fract_y
_atom_site_fract_z
Na1 Na 0.000 0.000 0.000
Hg1 Hg 0.500 0.500 0.500
I1 I 0.000 0.500 0.500
I2 I 0.500 0.000 0.500
I3 I 0.500 0.500 0.000
```

Summary:
crystal system = cubic
SG = Pm-3m (221)
calculated total energy = -1.70 eV per atom

First-principles (PBE-GGA) data for a relaxed structure of Ac6Cd2In, as listed in Alexandria via LeMat-Bulk.

Geometry as CIF:
```
data_Ac6Cd2In
_space_group_name_H-M_alt 'P 1'
_space_group_IT_number 1
_space_group_name_Hall 'P 1'
_cell_length_a 9.672
_cell_length_b 9.672
_cell_length_c 9.672
_cell_angle_alpha 111.15
_cell_angle_beta 109.11
_cell_angle_gamma 108.16
loop_
_atom_site_label
_atom_site_type_symbol
_atom_site_fract_x
_atom_site_fract_y
_atom_site_fract_z
Ac1 Ac 0.047 0.823 0.224
Ac2 Ac 0.250 0.550 0.301
Ac3 Ac 0.250 0.949 0.699
Ac4 Ac 0.266 0.318 0.584
Ac5 Ac 0.266 0.682 0.947
Ac6 Ac 0.401 0.177 0.224
Ac7 Ac 0.599 0.823 0.776
Ac8 Ac 0.734 0.318 0.053
Ac9 Ac 0.734 0.682 0.416
Ac10 Ac 0.750 0.051 0.301
Ac11 Ac 0.750 0.450 0.699
Ac12 Ac 0.953 0.177 0.776
Cd1 Cd 0.000 0.138 0.138
Cd2 Cd 0.000 0.862 0.862
Cd3 Cd 0.372 0.372 0.000
Cd4 Cd 0.628 0.628 0.000
In1 In 0.000 0.500 0.500
In2 In 0.500 0.000 0.500
```

Summary:
crystal system = orthorhombic
SG = Immm (71)
calculated total energy = -3.43 eV per atom
ΔH_f (0 K) = -0.180 eV/atom

First-principles (PBE-GGA) data for a relaxed structure of ReC2, as listed in Alexandria via LeMat-Bulk.

Geometry as CIF:
```
data_ReC2
_space_group_name_H-M_alt 'P 1'
_space_group_IT_number 1
_space_group_name_Hall 'P 1'
_cell_length_a 4.124
_cell_length_b 4.124
_cell_length_c 4.124
_cell_angle_alpha 114.30
_cell_angle_beta 114.30
_cell_angle_gamma 100.19
loop_
_atom_site_label
_atom_site_type_symbol
_atom_site_fract_x
_atom_site_fract_y
_atom_site_fract_z
Re1 Re 0.250 0.250 0.000
Re2 Re 0.750 0.750 0.000
C1 C 0.116 0.616 0.732
C2 C 0.384 0.116 0.500
C3 C 0.616 0.884 0.500
C4 C 0.884 0.384 0.268
```

Summary:
crystal system = tetragonal
SG = I4/mcm (140)
calculated total energy = -9.51 eV per atom
ΔH_f (0 K) = 0.788 eV/atom

First-principles (PBE-GGA) data for a relaxed structure of ScGaTe2P, as listed in Alexandria via LeMat-Bulk.

Geometry as CIF:
```
data_ScGaTe2P
_space_group_name_H-M_alt 'P 1'
_space_group_IT_number 1
_space_group_name_Hall 'P 1'
_cell_length_a 5.236
_cell_length_b 5.236
_cell_length_c 5.193
_cell_angle_alpha 90.00
_cell_angle_beta 90.00
_cell_angle_gamma 90.00
loop_
_atom_site_label
_atom_site_type_symbol
_atom_site_fract_x
_atom_site_fract_y
_atom_site_fract_z
Sc1 Sc 0.000 0.000 0.000
Ga1 Ga 0.000 0.000 0.500
Te1 Te 0.000 0.500 0.500
Te2 Te 0.500 0.000 0.500
P1 P 0.500 0.500 0.000
```

Summary:
crystal system = tetragonal
SG = P4/mmm (123)
calculated total energy = -3.59 eV per atom

First-principles (PBE-GGA) data for a relaxed structure of BaY2Cl, as listed in Alexandria via LeMat-Bulk.

Geometry as CIF:
```
data_BaY2Cl
_space_group_name_H-M_alt 'P 1'
_space_group_IT_number 1
_space_group_name_Hall 'P 1'
_cell_length_a 7.201
_cell_length_b 7.201
_cell_length_c 7.201
_cell_angle_alpha 151.49
_cell_angle_beta 132.41
_cell_angle_gamma 56.42
loop_
_atom_site_label
_atom_site_type_symbol
_atom_site_fract_x
_atom_site_fract_y
_atom_site_fract_z
Ba1 Ba 0.000 0.000 0.000
Y1 Y 0.292 0.792 0.500
Y2 Y 0.708 0.208 0.500
Cl1 Cl 0.500 0.500 0.000
```

Summary:
crystal system = orthorhombic
SG = Immm (71)
calculated total energy = -4.68 eV per atom